Record 1
Density functional theory data (PBEsol) for CaSb2Mo after structural relaxation.

E_form (uncorrected)	-0.173	eV/atom
SG	No. 166

Cell: 3.7840 3.7840 8.0637 Å, 76.43 76.43 60.00°
With the nearest neighbours (Å) after each atom.
Fractional coordinates of all 4 atoms:
Sb: 0.2623 0.2623 0.2131  3 Mo 2.74
Sb: 0.7377 0.7377 0.7869  3 Mo 2.74
Ca: 0.5000 0.5000 0.5000  6 Sb 3.12
Mo: 0.0000 0.0000 0.0000  6 Sb 2.74

---

Record 2
Density functional theory data (PBEsol) for BiPIrS2 after structural relaxation.

E_form (uncorrected)	0.305	eV/atom
SG	No. 123

Cell: 4.3955 4.7981 4.7981 Å, 90.00 90.00 90.00°
With the nearest neighbours (Å) after each atom.
Fractional coordinates of all 5 atoms:
S: 0.0000 0.0000 0.5000  2 Ir 2.40
S: 0.0000 0.5000 0.0000  2 Ir 2.40
Ir: 0.0000 0.0000 0.0000  2 P 2.20, 4 S 2.40
P: 0.5000 0.0000 0.0000  2 Ir 2.20
Bi: 0.5000 0.5000 0.5000  8 S 3.25, 4 P 3.39

---

D(E_F) per entry: 1.10; 4.31 states/eV per cell